# K2MnCr PBE-GGA optimized geometry
data_K2MnCr
_cell_length_a 8.4533
_cell_length_b 8.4533
_cell_length_c 8.4533
_cell_angle_alpha 90.00
_cell_angle_beta 90.00
_cell_angle_gamma 90.00
_symmetry_space_group_name_H-M 'F m -3 m'
_symmetry_Int_Tables_number 225
_symmetry_space_group_name_Hall '-F 4 2 3'
loop_
_atom_site_label
_atom_site_fract_x
_atom_site_fract_y
_atom_site_fract_z
_atom_site_occupancy
K1 0.2500 0.2500 0.2500 1
Mn1 0.0000 0.0000 0.0000 1
Cr1 0.0000 0.0000 0.5000 1
# - calculated total energy (eV/atom) = -4.008
# - offset from the most stable computed form (meV per atom) = 569
# - E_form (eV/f.u.) = 4.96
# - volume (Å³ per cell) = 604.06